# 1
VASP calculation (PBE) on a geometry-optimized TaAl2Tl structure.

Cell lengths 2.931, 2.931, 9.098 Å; angles 90.00, 90.00, 89.97 degrees
Atoms (fractional coordinates):
Al: 0.500 0.500 0.255
Al: 0.000 0.000 0.032
Tl: 0.500 0.500 0.743
Ta: 0.000 0.000 0.469

Computed properties:
The calculation puts the final energy at -20.71 eV for the cell shown. The calculation puts the energy relative to the lowest polymorph listed for this composition at 126 meV/atom. The symmetry is P4mm (99). The formation enthalpy at 0 K is 0.25 eV per atom.

# 2
VASP calculation (PBE) on a geometry-optimized CrSb2Os structure.

Cell lengths 7.090, 7.090, 7.090 Å; angles 154.22, 144.33, 44.53 degrees
Site moments in Bohr magnetons follow the coordinates.
Atoms (fractional coordinates):
Os: 0.250 0.750 0.500  -0.07
Sb: 0.415 0.415 0.000  -0.04
Sb: 0.085 0.085 0.000  -0.04
Cr: 0.750 0.250 0.500  3.21

Computed properties:
The value obtained for the formation energy from raw total energies is 1.71 eV/f.u. The calculation puts the final energy at -27.39 eV for the cell shown. The calculation puts the energy relative to the lowest polymorph listed for this composition at 166 meV/atom. The symmetry is Immm (71).

# 3
VASP calculation (PBE) on a geometry-optimized TiMn2SiC structure.

Cell lengths 2.822, 6.107, 6.826 Å; angles 90.00, 90.00, 103.36 degrees
Site moments in Bohr magnetons follow the coordinates.
Atoms (fractional coordinates):
Ti: 0.524 0.049 0.250  -0.03
Ti: 0.476 0.951 0.750  -0.03
Si: 0.759 0.518 0.750  -0.03
Si: 0.241 0.482 0.250  -0.03
Mn: 0.850 0.700 0.046  0.83
Mn: 0.150 0.300 0.954  0.83
Mn: 0.150 0.300 0.546  0.83
Mn: 0.850 0.700 0.454  0.83
C: 0.000 0.000 0.000  -0.04
C: 0.000 0.000 0.500  -0.04

Computed properties:
The value obtained for the formation energy from raw total energies is -1.81 eV/f.u. The calculation puts the final energy at -85.39 eV for the cell shown. The symmetry is Cmcm (63).

# 4
VASP calculation (PBE) on a geometry-optimized NdSc8Sn6 structure.

Cell lengths 8.637, 8.637, 7.926 Å; angles 56.99, 56.99, 60.00 degrees
Atoms (fractional coordinates):
Sn: 0.069 0.724 0.792
Sn: 0.931 0.276 0.208
Sn: 0.415 0.069 0.792
Sn: 0.724 0.415 0.792
Sn: 0.276 0.585 0.208
Sn: 0.585 0.931 0.208
Sc: 0.778 0.107 0.682
Sc: 0.567 0.222 0.318
Sc: 0.107 0.433 0.682
Sc: 0.222 0.893 0.318
Sc: 0.433 0.778 0.682
Sc: 0.667 0.667 0.999
Sc: 0.333 0.333 0.001
Sc: 0.893 0.567 0.318
Nd: 0.000 0.000 0.000

Computed properties:
The calculation puts the final energy at -86.36 eV for the cell shown. The symmetry is R-3 (148). The formation enthalpy at 0 K is -0.46 eV per atom.

# 5
VASP calculation (PBE) on a geometry-optimized Y2ScW structure.

Cell lengths 5.853, 5.853, 5.456 Å; angles 67.90, 67.90, 35.64 degrees
Atoms (fractional coordinates):
Sc: 0.542 0.542 0.489
Y: 0.759 0.759 0.736
Y: 0.969 0.969 0.063
W: 0.231 0.231 0.212

Computed properties:
The calculation puts the final energy at -30.67 eV for the cell shown. The calculation puts the energy relative to the lowest polymorph listed for this composition at 83 meV/atom. The symmetry is Cm (8). The formation enthalpy at 0 K is 0.38 eV per atom.

# 6
VASP calculation (PBE) on a geometry-optimized CsAgRhPb2 structure.

Cell lengths 5.288, 5.288, 5.637 Å; angles 90.00, 90.00, 90.00 degrees
Atoms (fractional coordinates):
Cs: 0.500 0.500 0.500
Pb: 0.000 0.500 0.000
Pb: 0.500 0.000 0.000
Ag: 0.000 0.000 0.500
Rh: 0.000 0.000 0.000

Computed properties:
The calculation puts the final energy at -18.14 eV for the cell shown. The symmetry is P4/mmm (123). The formation enthalpy at 0 K is 0.07 eV per atom.

# 7
VASP calculation (PBE) on a geometry-optimized Pm2Zn12Cu3Ag structure.

Cell lengths 8.108, 8.108, 8.108 Å; angles 60.53, 60.53, 60.53 degrees
Atoms (fractional coordinates):
Cu: 0.500 0.000 0.000
Cu: 0.000 0.000 0.500
Cu: 0.000 0.500 0.000
Pm: 0.389 0.389 0.389
Pm: 0.611 0.611 0.611
Zn: 0.874 0.352 0.352
Zn: 0.873 0.391 0.873
Zn: 0.352 0.352 0.874
Zn: 0.609 0.127 0.127
Zn: 0.352 0.874 0.352
Zn: 0.127 0.127 0.609
Zn: 0.648 0.648 0.126
Zn: 0.873 0.873 0.391
Zn: 0.127 0.609 0.127
Zn: 0.126 0.648 0.648
Zn: 0.648 0.126 0.648
Zn: 0.391 0.873 0.873
Ag: 0.000 0.000 0.000

Computed properties:
The calculation puts the final energy at -35.52 eV for the cell shown. The symmetry is R-3m (166). The formation enthalpy at 0 K is 0.25 eV per atom.

# 8
VASP calculation (PBE) on a geometry-optimized Ge2BRh structure.

Cell lengths 5.236, 5.236, 6.276 Å; angles 65.34, 65.34, 90.00 degrees
Atoms (fractional coordinates):
B: 0.500 0.500 0.000
B: 0.250 0.750 0.500
Rh: 0.000 0.000 0.000
Rh: 0.750 0.250 0.500
Ge: 0.571 0.125 0.250
Ge: 0.375 0.429 0.750
Ge: 0.875 0.821 0.750
Ge: 0.179 0.625 0.250

Computed properties:
The calculation puts the final energy at -44.18 eV for the cell shown. The symmetry is I-42d (122). The formation enthalpy at 0 K is 0.29 eV per atom.

# 9
VASP calculation (PBE) on a geometry-optimized Tl2ZnCu structure.

Cell lengths 5.030, 5.030, 5.030 Å; angles 60.00, 60.00, 60.00 degrees
Atoms (fractional coordinates):
Cu: 0.500 0.500 0.500
Tl: 0.250 0.250 0.250
Tl: 0.000 0.000 0.000
Zn: 0.750 0.750 0.750

Computed properties:
The calculation puts the final energy at -8.66 eV for the cell shown. The calculation puts the energy relative to the lowest polymorph listed for this composition at 221 meV/atom. The symmetry is F-43m (216). The formation enthalpy at 0 K is 0.36 eV per atom.

# 10
VASP calculation (PBE) on a geometry-optimized KNaTlAg structure.

Cell lengths 5.487, 5.487, 5.487 Å; angles 60.00, 60.00, 60.00 degrees
Atoms (fractional coordinates):
Ag: 0.250 0.250 0.250
K: 0.000 0.000 0.000
Tl: 0.500 0.500 0.500
Na: 0.750 0.750 0.750

Computed properties:
The calculation puts the final energy at -7.51 eV for the cell shown. The calculation puts the energy relative to the lowest polymorph listed for this composition at 60 meV/atom. The symmetry is F-43m (216). The formation enthalpy at 0 K is 0.03 eV per atom.

# 11
VASP calculation (PBE) on a geometry-optimized CaZr2RhN4 structure.

Cell lengths 3.237, 5.881, 11.524 Å; angles 90.00, 90.00, 105.98 degrees
Atoms (fractional coordinates):
N: 0.544 0.087 0.250
N: 0.000 0.000 0.500
N: 0.000 0.000 0.000
N: 0.456 0.913 0.750
N: 0.265 0.530 0.108
N: 0.735 0.470 0.892
N: 0.735 0.470 0.608
N: 0.265 0.530 0.392
Zr: 0.632 0.264 0.046
Zr: 0.632 0.264 0.454
Zr: 0.368 0.736 0.546
Zr: 0.368 0.736 0.954
Ca: 0.885 0.769 0.250
Ca: 0.115 0.231 0.750
Rh: 0.149 0.298 0.250
Rh: 0.851 0.702 0.750

Computed properties:
The value obtained for the formation energy from raw total energies is -7.53 eV/f.u. The calculation puts the final energy at -134.56 eV for the cell shown. The symmetry is Cmcm (63).

# 12
VASP calculation (PBE) on a geometry-optimized Be2WAu structure.

Cell lengths 2.869, 4.173, 4.173 Å; angles 90.00, 90.00, 90.00 degrees
Atoms (fractional coordinates):
Be: 0.000 0.000 0.000
Be: 0.000 0.500 0.500
W: 0.500 0.500 0.000
Au: 0.500 0.000 0.500

Computed properties:
The calculation puts the final energy at -23.26 eV for the cell shown. The calculation puts the energy relative to the lowest polymorph listed for this composition at 0 meV/atom. The symmetry is P4/mmm (123). The formation enthalpy at 0 K is 0.10 eV per atom.